# 1
Material: Er2BeRh
Method: DFT, GGA-PBE
State: optimized geometry

Cell: 3.4044 3.4044 6.7116 Å, 90.00 90.00 90.00°
Last column: nearest neighbours and their distance in Å.
Space group P4/mmm (No. 123)
Asymmetric unit:
Er: 0.0000 0.0000 0.2492 (multiplicity 2)  4 Be 2.93, 4 Rh 2.94
Be: 0.5000 0.5000 0.0000 (multiplicity 1)  8 Er 2.93
Rh: 0.5000 0.5000 0.5000 (multiplicity 1)  8 Er 2.94

Output
energy relative to the elements	-0.42	eV per atom
raw total energy	-5.472	eV/atom
energy above the lowest structure with this stoichiometry	0	meV/atom
crystal system	tetragonal

---

# 2
Material: Er3BeRh2
Method: DFT, GGA-PBE
State: optimized geometry

Cell: 11.0961 3.8936 11.4779 Å, 90.00 90.00 90.00°
Last column: nearest neighbours and their distance in Å.
Space group Pnma (No. 62)
Asymmetric unit:
Er: 0.0606 0.2500 0.1210 (multiplicity 4)  5 Rh 2.92-3.06, 1 Be 2.94
Er: 0.1232 0.7500 0.5573 (multiplicity 4)  3 Be 2.88-2.91, 5 Rh 2.94-2.96
Er: 0.2024 0.2500 0.8053 (multiplicity 4)  4 Rh 2.81-2.97, 2 Be 2.82
Be: 0.1255 0.2500 0.3694 (multiplicity 4)  3 Rh 2.29-2.38
Rh: 0.0301 0.7500 0.3174 (multiplicity 4)  2 Be 2.29
Rh: 0.1937 0.7500 0.9812 (multiplicity 4)  1 Be 2.38

Output
energy relative to the elements	-0.69	eV per atom
raw total energy	-6.043	eV/atom
crystal system	orthorhombic

---

# 3
Material: Er2BeRh2
Method: DFT, GGA-PBE
State: optimized geometry

Cell: 5.9255 11.4114 5.6127 Å, 90.00 90.00 90.00°
Last column: nearest neighbours and their distance in Å.
Space group Ibam (No. 72)
Asymmetric unit:
Er: 0.1781 0.1321 0.0000 (multiplicity 8)  6 Rh 2.80-3.02, 2 Be 2.81
Be: 0.0000 0.5000 0.2500 (multiplicity 4)  4 Rh 2.27
Rh: 0.1858 0.3773 0.0000 (multiplicity 8)  2 Be 2.27

Output
energy relative to the elements	-0.64	eV per atom
raw total energy	-6.152	eV/atom
energy above the lowest structure with this stoichiometry	118	meV/atom
crystal system	orthorhombic

---

| no. | calculated volume (Å³ per atom) |
| --- | --- |
| 1 | 19.45 |
| 2 | 20.66 |
| 3 | 18.98 |